Record 1
The following is a PBE calculation of an optimized crystal structure of Tb2Cu2Ni5Ge, from the Alexandria database.

Properties
Volume = 293.6 Å³/cell
ρ = 9.17 g cm⁻³
Energy relative to the elements = -0.30 eV per atom

a = 3.597 Å, b = 9.035 Å, c = 9.035 Å
α = 90.00°, β = 90.00°, γ = 90.00°
Positions (direct):
Tb (0.000, 0.678, 0.178)
Tb (0.000, 0.322, 0.822)
Tb (0.000, 0.178, 0.322)
Tb (0.000, 0.822, 0.678)
Cu (0.000, 0.119, 0.619)
Cu (0.000, 0.881, 0.381)
Cu (0.000, 0.619, 0.881)
Cu (0.000, 0.381, 0.119)
Ni (0.500, 0.202, 0.058)
Ni (0.500, 0.798, 0.942)
Ni (0.500, 0.058, 0.798)
Ni (0.500, 0.702, 0.442)
Ni (0.500, 0.942, 0.202)
Ni (0.500, 0.298, 0.558)
Ni (0.500, 0.558, 0.702)
Ni (0.500, 0.442, 0.298)
Ni (0.500, 0.500, 0.000)
Ni (0.500, 0.000, 0.500)
Ge (0.000, 0.000, 0.000)
Ge (0.000, 0.500, 0.500)

---

Record 2
The following is a PBE calculation of an optimized crystal structure of Pu3TaSe6, from the Alexandria database.

Properties
Volume = 522.0 Å³/cell
E_form (uncorrected) = -1.1225 eV/atom
ρ = 8.82 g cm⁻³

a = 6.724 Å, b = 8.872 Å, c = 8.872 Å
α = 99.50°, β = 90.00°, γ = 90.00°
Site moments in Bohr magnetons follow the coordinates.
Positions (direct):
Pu (0.491, 0.917, 0.720)  -5.22
Pu (0.991, 0.720, 0.917)  -5.22
Pu (0.372, 0.394, 0.606)  5.15
Pu (0.872, 0.606, 0.394)  5.15
Pu (0.991, 0.083, 0.280)  -5.22
Pu (0.491, 0.280, 0.083)  -5.22
Ta (0.008, 0.155, 0.845)  -0.19
Ta (0.508, 0.845, 0.155)  -0.19
Se (0.186, 0.692, 0.627)  0.02
Se (0.686, 0.627, 0.692)  0.02
Se (0.162, 0.411, 0.912)  0.01
Se (0.662, 0.912, 0.411)  0.01
Se (0.255, 0.004, 0.996)  0.06
Se (0.672, 0.234, 0.766)  0.02
Se (0.172, 0.766, 0.234)  0.02
Se (0.755, 0.996, 0.004)  0.06
Se (0.162, 0.088, 0.589)  0.01
Se (0.662, 0.589, 0.088)  0.01
Se (0.186, 0.373, 0.308)  0.02
Se (0.686, 0.308, 0.373)  0.02